Entry a
Computed, not measured: a geometry-optimized TmSiHg structure at the PBE level of DFT.

a b c (Å): 4.636 4.636 4.636
angles (deg): 60.00 60.00 60.00
Atoms (fractional coordinates):
Si (0.000, 0.000, 0.000)
Tm (0.750, 0.750, 0.750)
Hg (0.250, 0.250, 0.250)



Entry b
Computed, not measured: a geometry-optimized TmSiHg structure at the PBE level of DFT.

a b c (Å): 4.784 4.784 4.784
angles (deg): 60.00 60.00 60.00
Atoms (fractional coordinates):
Tm (0.250, 0.250, 0.250)
Hg (0.500, 0.500, 0.500)
Si (0.000, 0.000, 0.000)



Tell me which of them is the least stable. Sure, it is entry b.



Entry a
Computed, not measured: a geometry-optimized USiHg structure at the PBE level of DFT.

a b c (Å): 4.825 4.825 4.825
angles (deg): 60.00 60.00 60.00
Atoms (fractional coordinates):
Si (0.500, 0.500, 0.500)
U (0.750, 0.750, 0.750)
Hg (0.000, 0.000, 0.000)



Entry b
Computed, not measured: a geometry-optimized USiHg structure at the PBE level of DFT.

a b c (Å): 4.695 4.695 4.695
angles (deg): 60.00 60.00 60.00
Atoms (fractional coordinates):
Si (0.000, 0.000, 0.000)
U (0.750, 0.750, 0.750)
Hg (0.250, 0.250, 0.250)



Tell me which of them is the least stable. Sure, it is entry a.



Entry a
Computed, not measured: a geometry-optimized TbSmHg structure at the PBE level of DFT.

a b c (Å): 5.149 5.149 5.149
angles (deg): 60.00 60.00 60.00
Atoms (fractional coordinates):
Sm (0.250, 0.250, 0.250)
Hg (0.000, 0.000, 0.000)
Tb (0.750, 0.750, 0.750)



Entry b
Computed, not measured: a geometry-optimized TbSmHg structure at the PBE level of DFT.

a b c (Å): 7.210 5.130 9.324
angles (deg): 90.00 90.00 90.00
Atoms (fractional coordinates):
Tb (0.833, 0.750, 0.075)
Tb (0.167, 0.250, 0.925)
Tb (0.333, 0.750, 0.425)
Tb (0.667, 0.250, 0.575)
Sm (0.515, 0.250, 0.192)
Sm (0.015, 0.250, 0.308)
Sm (0.485, 0.750, 0.808)
Sm (0.985, 0.750, 0.692)
Hg (0.243, 0.250, 0.602)
Hg (0.257, 0.750, 0.102)
Hg (0.743, 0.250, 0.898)
Hg (0.757, 0.750, 0.398)



Tell me which of them is the least stable. Sure, it is entry a.